# PBE-GGA KNbF3, optimized geometry
data_KNbF3
_symmetry_space_group_name_H-M 'P 1'
_symmetry_Int_Tables_number 1
_cell_length_a 6.279
_cell_length_b 8.264
_cell_length_c 5.876
_cell_angle_alpha 90.00
_cell_angle_beta 90.00
_cell_angle_gamma 90.00
loop_
_symmetry_equiv_pos_as_xyz
'x,y,z'
loop_
_atom_site_label
_atom_site_fract_x
_atom_site_fract_y
_atom_site_fract_z
F1 0.931 0.750 0.399
F2 0.796 0.534 0.803
F3 0.569 0.250 0.899
F4 0.431 0.750 0.101
F5 0.296 0.966 0.697
F6 0.704 0.034 0.303
F7 0.204 0.034 0.197
F8 0.069 0.250 0.601
F9 0.204 0.466 0.197
F10 0.296 0.534 0.697
F11 0.796 0.966 0.803
F12 0.704 0.466 0.303
Nb1 0.500 0.000 0.000
Nb2 0.000 0.500 0.500
Nb3 0.000 0.000 0.500
Nb4 0.500 0.500 0.000
K1 0.962 0.250 0.017
K2 0.538 0.750 0.517
K3 0.038 0.750 0.983
K4 0.462 0.250 0.483
# **VASP energy**: -5.5705 eV/atom